[1]
Below is a geometry-optimized TlFeTc2B structure, with properties calculated at the PBE-GGA level.

abc: 5.0424 3.9166 5.0424
angles: 90.00 90.00 90.00
Each line ends with the local moment (μB).
Fractional coordinates of all 5 atoms:
1 Tl 0.0000 0.0000 0.0000  0.01
2 B 0.0000 0.5000 0.0000  0.00
3 Tc 0.0000 0.0000 0.5000  0.06
4 Tc 0.5000 0.0000 0.0000  0.00
5 Fe 0.5000 0.5000 0.5000  -0.15

Properties
- ΔE_f (eV/atom) = 3.020



[2]
Below is a geometry-optimized TmFeTcB2 structure, with properties calculated at the PBE-GGA level.

abc: 3.5815 3.5815 5.4060
angles: 109.34 109.34 90.00
Each line ends with the local moment (μB).
Fractional coordinates of all 5 atoms:
1 Tm 0.0000 0.0000 0.0000  -0.10
2 Fe 0.7500 0.2500 0.5000  1.95
3 Tc 0.2500 0.7500 0.5000  0.39
4 B 0.6017 0.6017 0.2034  -0.05
5 B 0.3983 0.3983 0.7966  -0.05

Properties
- ΔE_f (eV/atom) = -0.395



[3]
Below is a geometry-optimized U2Fe3TcB12 structure, with properties calculated at the PBE-GGA level.

abc: 8.2349 8.2349 8.2349
angles: 37.95 37.95 37.95
Each line ends with the local moment (μB).
Fractional coordinates of all 18 atoms:
1 U 0.6440 0.6440 0.6440  1.48
2 U 0.3560 0.3560 0.3560  1.48
3 Fe 0.5000 0.0000 0.0000  1.83
4 Fe 0.0000 0.5000 0.0000  1.83
5 Fe 0.0000 0.0000 0.5000  1.83
6 Tc 0.0000 0.0000 0.0000  -0.20
7 B 0.3470 0.3470 0.0197  -0.03
8 B 0.9518 0.9518 0.3268  -0.01
9 B 0.3268 0.9518 0.9518  -0.01
10 B 0.0197 0.3470 0.3470  -0.03
11 B 0.9518 0.3268 0.9518  -0.01
12 B 0.3470 0.0197 0.3470  -0.03
13 B 0.6530 0.6530 0.9803  -0.03
14 B 0.0482 0.0482 0.6732  -0.01
15 B 0.6732 0.0482 0.0482  -0.01
16 B 0.9803 0.6530 0.6530  -0.03
17 B 0.0482 0.6732 0.0482  -0.01
18 B 0.6530 0.9803 0.6530  -0.03

Properties
- ΔE_f (eV/atom) = 0.109



[4]
Below is a geometry-optimized FeTc2BW structure, with properties calculated at the PBE-GGA level.

abc: 4.0908 3.8145 4.0908
angles: 90.00 90.00 90.00
Each line ends with the local moment (μB).
Fractional coordinates of all 5 atoms:
1 B 0.0000 0.0000 0.0000  -0.01
2 Tc 0.0000 0.0000 0.5000  -0.04
3 Tc 0.5000 0.0000 0.0000  -0.04
4 W 0.5000 0.5000 0.5000  -0.04
5 Fe 0.0000 0.5000 0.0000  0.34

Properties
- ΔE_f (eV/atom) = 0.043



[5]
Below is a geometry-optimized ZrFeTc2B structure, with properties calculated at the PBE-GGA level.

abc: 4.2424 4.2424 3.8774
angles: 90.00 90.00 90.00
Each line ends with the local moment (μB).
Fractional coordinates of all 5 atoms:
1 B 0.0000 0.0000 0.0000  -0.05
2 Tc 0.0000 0.5000 0.0000  0.20
3 Tc 0.5000 0.0000 0.0000  0.20
4 Zr 0.5000 0.5000 0.5000  -0.04
5 Fe 0.0000 0.0000 0.5000  1.87

Properties
- ΔE_f (eV/atom) = -0.206



[6]
Below is a geometry-optimized ZrFeTc2B structure, with properties calculated at the PBE-GGA level.

abc: 4.0502 4.5001 4.0502
angles: 90.00 90.00 90.00
Fractional coordinates of all 5 atoms:
1 B 0.0000 0.0000 0.0000
2 Tc 0.0000 0.0000 0.5000
3 Tc 0.5000 0.0000 0.0000
4 Zr 0.0000 0.5000 0.0000
5 Fe 0.5000 0.5000 0.5000

Properties
- ΔE_f (eV/atom) = 0.259



[7]
Below is a geometry-optimized FeBTe2 structure, with properties calculated at the PBE-GGA level.

abc: 5.5672 5.5672 6.6079
angles: 65.09 65.09 90.00
Fractional coordinates of all 8 atoms:
1 B 0.5000 0.5000 0.0000
2 B 0.2500 0.7500 0.5000
3 Te 0.6041 0.1250 0.2500
4 Te 0.1459 0.6250 0.2500
5 Te 0.3750 0.3959 0.7500
6 Te 0.8750 0.8541 0.7500
7 Fe 0.0000 0.0000 0.0000
8 Fe 0.7500 0.2500 0.5000

Properties
- raw formation energy (eV per atom) = 0.51



[8]
Below is a geometry-optimized FeBTe3 structure, with properties calculated at the PBE-GGA level.

abc: 4.7232 4.7232 4.7232
angles: 90.00 90.00 90.00
Fractional coordinates of all 5 atoms:
1 B 0.0000 0.0000 0.0000
2 Te 0.0000 0.5000 0.0000
3 Te 0.0000 0.0000 0.5000
4 Te 0.5000 0.0000 0.0000
5 Fe 0.5000 0.5000 0.5000

Properties
- raw formation energy (eV per atom) = 1.26



[9]
Below is a geometry-optimized Fe2BTe2 structure, with properties calculated at the PBE-GGA level.

abc: 7.3042 7.3042 3.0853
angles: 90.00 90.00 90.00
Fractional coordinates of all 10 atoms:
1 B 0.0000 0.0000 0.0000
2 B 0.5000 0.5000 0.0000
3 Te 0.3340 0.8340 0.0000
4 Te 0.8340 0.6660 0.0000
5 Te 0.6660 0.1660 0.0000
6 Te 0.1660 0.3340 0.0000
7 Fe 0.1274 0.6274 0.5000
8 Fe 0.6274 0.8726 0.5000
9 Fe 0.8726 0.3726 0.5000
10 Fe 0.3726 0.1274 0.5000

Properties
- raw formation energy (eV per atom) = 1.20



[10]
Below is a geometry-optimized FeB3Te structure, with properties calculated at the PBE-GGA level.

abc: 4.3600 4.3600 4.3600
angles: 90.00 90.00 90.00
Each line ends with the local moment (μB).
Fractional coordinates of all 5 atoms:
1 B 0.0000 0.5000 0.0000  0.04
2 B 0.0000 0.0000 0.5000  0.00
3 B 0.5000 0.0000 0.0000  0.05
4 Te 0.0000 0.0000 0.0000  0.00
5 Fe 0.5000 0.5000 0.5000  -0.28

Properties
- raw formation energy (eV per atom) = 2.81



[11]
Below is a geometry-optimized FeBTe2 structure, with properties calculated at the PBE-GGA level.

abc: 7.2707 7.2707 7.2707
angles: 32.78 32.78 32.78
Each line ends with the local moment (μB).
Fractional coordinates of all 4 atoms:
1 B 0.0000 0.0000 0.0000  0.15
2 Te 0.8995 0.8995 0.8995  0.00
3 Te 0.1005 0.1005 0.1005  0.00
4 Fe 0.5000 0.5000 0.5000  2.56

Properties
- raw formation energy (eV per atom) = 0.80



[12]
Below is a geometry-optimized Fe2BTe2 structure, with properties calculated at the PBE-GGA level.

abc: 3.5196 3.5196 7.5907
angles: 76.59 76.59 90.00
Fractional coordinates of all 5 atoms:
1 B 0.0000 0.0000 0.0000
2 Te 0.3780 0.3780 0.2440
3 Te 0.6220 0.6220 0.7560
4 Fe 0.7500 0.2500 0.5000
5 Fe 0.2500 0.7500 0.5000

Properties
- raw formation energy (eV per atom) = 0.99



[13]
Below is a geometry-optimized FeB2Te structure, with properties calculated at the PBE-GGA level.

abc: 4.8782 4.8782 6.0339
angles: 66.16 66.16 90.00
Fractional coordinates of all 8 atoms:
1 B 0.5567 0.1250 0.2500
2 B 0.1933 0.6250 0.2500
3 B 0.3750 0.4433 0.7500
4 B 0.8750 0.8067 0.7500
5 Te 0.0000 0.0000 0.0000
6 Te 0.7500 0.2500 0.5000
7 Fe 0.5000 0.5000 0.0000
8 Fe 0.2500 0.7500 0.5000

Properties
- raw formation energy (eV per atom) = 0.80



[14]
Below is a geometry-optimized FeB3Te structure, with properties calculated at the PBE-GGA level.

abc: 3.9823 3.9823 3.9823
angles: 90.00 90.00 90.00
Each line ends with the local moment (μB).
Fractional coordinates of all 5 atoms:
1 B 0.0000 0.5000 0.0000  -0.01
2 B 0.0000 0.0000 0.5000  -0.02
3 B 0.5000 0.0000 0.0000  -0.03
4 Te 0.5000 0.5000 0.5000  0.23
5 Fe 0.0000 0.0000 0.0000  1.10

Properties
- raw formation energy (eV per atom) = 1.27



[15]
Below is a geometry-optimized FeBTe3 structure, with properties calculated at the PBE-GGA level.

abc: 5.0145 5.0145 5.0145
angles: 90.00 90.00 90.00
Fractional coordinates of all 5 atoms:
1 B 0.5000 0.5000 0.5000
2 Te 0.0000 0.5000 0.0000
3 Te 0.0000 0.0000 0.5000
4 Te 0.5000 0.0000 0.0000
5 Fe 0.0000 0.0000 0.0000

Properties
- raw formation energy (eV per atom) = 1.30



[16]
Below is a geometry-optimized TiFeB2Te structure, with properties calculated at the PBE-GGA level.

abc: 3.8380 5.1400 3.8380
angles: 90.00 90.00 90.00
Fractional coordinates of all 5 atoms:
1 B 0.0000 0.0000 0.5000
2 B 0.5000 0.0000 0.0000
3 Te 0.0000 0.5000 0.0000
4 Fe 0.0000 0.0000 0.0000
5 Ti 0.5000 0.5000 0.5000

Properties
- raw formation energy (eV per atom) = 0.71



[17]
Below is a geometry-optimized ThFe6B3 structure, with properties calculated at the PBE-GGA level.

abc: 5.1764 5.0940 6.0397
angles: 91.70 119.65 118.69
Each line ends with the local moment (μB).
Fractional coordinates of all 10 atoms:
1 Th 0.9723 0.9906 0.9061  -0.13
2 Fe 0.2918 0.4081 0.6888  1.21
3 Fe 0.2456 0.6526 0.3096  2.19
4 Fe 0.7176 0.1070 0.2422  1.71
5 Fe 0.2947 0.8792 0.7048  0.89
6 Fe 0.6885 0.3409 0.5807  1.90
7 Fe 0.6910 0.5992 0.2364  1.31
8 B 0.6900 0.3471 0.9616  -0.12
9 B 0.2741 0.6373 0.9660  -0.11
10 B 0.1343 0.0381 0.4039  -0.11

Properties
- ΔE_f (eV/atom) = -0.177



[18]
Below is a geometry-optimized Th2FeB5 structure, with properties calculated at the PBE-GGA level.

abc: 5.4395 5.4395 5.4395
angles: 84.46 123.25 123.25
Each line ends with the local moment (μB).
Fractional coordinates of all 8 atoms:
1 Th 0.5000 0.2368 0.7368  -0.06
2 Th 0.5000 0.7368 0.2368  -0.06
3 Fe 0.0000 0.0018 0.0018  1.93
4 B 0.3545 0.6572 0.6572  -0.02
5 B 0.0000 0.6572 0.3027  -0.02
6 B 0.0000 0.3027 0.6572  -0.02
7 B 0.6455 0.3027 0.3027  -0.02
8 B 0.0000 0.3270 0.3270  0.02

Properties
- ΔE_f (eV/atom) = -0.251



[19]
Below is a geometry-optimized ThFe4B2 structure, with properties calculated at the PBE-GGA level.

abc: 3.5500 3.5719 6.8383
angles: 105.14 90.00 90.00
Fractional coordinates of all 7 atoms:
1 Th 0.0000 0.0000 0.0000
2 Fe 0.5000 0.8103 0.6207
3 Fe 0.0000 0.6923 0.3846
4 Fe 0.5000 0.1897 0.3793
5 Fe 0.0000 0.3077 0.6154
6 B 0.5000 0.6092 0.2185
7 B 0.5000 0.3908 0.7815

Properties
- ΔE_f (eV/atom) = -0.258



[20]
Below is a geometry-optimized Th2FeB10 structure, with properties calculated at the PBE-GGA level.

abc: 4.1831 5.6295 11.2367
angles: 90.00 90.00 90.00
Fractional coordinates of all 26 atoms:
1 Th 0.5000 0.2909 0.8690
2 Th 0.5000 0.7091 0.1310
3 Th 0.5000 0.7909 0.6310
4 Th 0.5000 0.2091 0.3690
5 Fe 0.0000 0.5000 0.5000
6 Fe 0.0000 0.0000 0.0000
7 B 0.0000 0.1266 0.5400
8 B 0.0000 0.8734 0.4600
9 B 0.0000 0.6266 0.9600
10 B 0.0000 0.3734 0.0400
11 B 0.0000 0.1478 0.6971
12 B 0.0000 0.8522 0.3029
13 B 0.2992 0.2049 0.1136
14 B 0.2992 0.7951 0.8864
15 B 0.7008 0.7049 0.3864
16 B 0.7008 0.2951 0.6136
17 B 0.7008 0.7951 0.8864
18 B 0.7008 0.2049 0.1136
19 B 0.2992 0.2951 0.6136
20 B 0.2992 0.7049 0.3864
21 B 0.0000 0.0394 0.1874
22 B 0.0000 0.9606 0.8126
23 B 0.0000 0.5394 0.3126
24 B 0.0000 0.4606 0.6874
25 B 0.0000 0.3522 0.1971
26 B 0.0000 0.6478 0.8029

Properties
- ΔE_f (eV/atom) = -0.608



[21]
Below is a geometry-optimized ThFe22B6 structure, with properties calculated at the PBE-GGA level.

abc: 7.6081 7.6081 7.6081
angles: 60.00 60.00 60.00
Each line ends with the local moment (μB).
Fractional coordinates of all 29 atoms:
1 Th 0.0000 0.0000 0.0000  -0.15
2 Fe 0.7500 0.7500 0.7500  2.81
3 Fe 0.2500 0.2500 0.2500  2.81
4 Fe 0.6171 0.6171 0.1486  2.04
5 Fe 0.6171 0.6171 0.6171  2.04
6 Fe 0.6171 0.1486 0.6171  2.04
7 Fe 0.1486 0.6171 0.6171  2.04
8 Fe 0.3829 0.3829 0.8514  2.04
9 Fe 0.3829 0.3829 0.3829  2.04
10 Fe 0.3829 0.8514 0.3829  2.04
11 Fe 0.8514 0.3829 0.3829  2.04
12 Fe 0.6482 0.0000 0.3518  2.13
13 Fe 0.0000 0.6482 0.3518  2.13
14 Fe 0.0000 0.0000 0.3518  2.13
15 Fe 0.0000 0.6482 0.0000  2.13
16 Fe 0.6482 0.0000 0.0000  2.13
17 Fe 0.0000 0.0000 0.6482  2.13
18 Fe 0.0000 0.3518 0.0000  2.13
19 Fe 0.0000 0.3518 0.6482  2.13
20 Fe 0.6482 0.3518 0.0000  2.13
21 Fe 0.3518 0.0000 0.6482  2.13
22 Fe 0.3518 0.0000 0.0000  2.13
23 Fe 0.3518 0.6482 0.0000  2.13
24 B 0.2748 0.7252 0.2748  -0.15
25 B 0.7252 0.2748 0.2748  -0.15
26 B 0.7252 0.7252 0.2748  -0.15
27 B 0.7252 0.2748 0.7252  -0.15
28 B 0.2748 0.7252 0.7252  -0.15
29 B 0.2748 0.2748 0.7252  -0.15

Properties
- ΔE_f (eV/atom) = -0.116



[22]
Below is a geometry-optimized Th2Fe3B4 structure, with properties calculated at the PBE-GGA level.

abc: 4.7700 4.7700 6.7950
angles: 100.88 100.88 117.52
Each line ends with the local moment (μB).
Fractional coordinates of all 9 atoms:
1 Th 0.6535 0.6535 0.3069  -0.08
2 Th 0.3465 0.3465 0.6931  -0.08
3 Fe 0.5000 0.0000 0.0000  0.88
4 Fe 0.0000 0.0000 0.0000  1.11
5 Fe 0.0000 0.5000 0.0000  0.88
6 B 0.0428 0.7210 0.7637  -0.05
7 B 0.7210 0.0428 0.7637  -0.05
8 B 0.9572 0.2790 0.2363  -0.05
9 B 0.2790 0.9572 0.2363  -0.05

Properties
- ΔE_f (eV/atom) = -0.045



[23]
Below is a geometry-optimized ThFeB structure, with properties calculated at the PBE-GGA level.

abc: 4.0432 3.4562 6.8407
angles: 90.00 90.00 90.00
Each line ends with the local moment (μB).
Fractional coordinates of all 6 atoms:
1 Th 0.3116 0.7162 0.1574  -0.07
2 Th 0.3116 0.2162 0.6355  -0.07
3 Fe 0.8117 0.2161 0.0013  1.05
4 Fe 0.8117 0.7161 0.7916  1.05
5 B 0.8116 0.2163 0.3314  -0.01
6 B 0.8116 0.7162 0.4615  -0.01

Properties
- ΔE_f (eV/atom) = -0.137



[24]
Below is a geometry-optimized ThFe5B2 structure, with properties calculated at the PBE-GGA level.

abc: 3.3115 5.7657 5.7657
angles: 70.01 73.31 73.31
Each line ends with the local moment (μB).
Fractional coordinates of all 8 atoms:
1 Th 0.0000 0.0000 0.0000  -0.19
2 Fe 0.0000 0.5000 0.5000  2.00
3 Fe 0.6613 0.5247 0.1526  1.92
4 Fe 0.3387 0.4753 0.8474  1.92
5 Fe 0.3387 0.8474 0.4753  1.92
6 Fe 0.6613 0.1526 0.5247  1.92
7 B 0.7598 0.7402 0.7402  -0.13
8 B 0.2402 0.2598 0.2598  -0.13

Properties
- ΔE_f (eV/atom) = -0.237



no.,magnetic moment (μB/f.u.)
1,0.03
2,2.14
3,8.22
4,0.20
5,2.23
6,0.01
7,0.00
8,0.00
9,0.00
10,0.10
11,2.97
12,0.00
13,0.00
14,1.34
15,0.00
16,0.00
17,8.58
18,1.67
19,0.00
20,0.00
21,45.94
22,2.37
23,0.91
24,9.07